[1]
Below is a relaxed structure of CuHgRh2, with properties calculated at the GGA-PBEsol level.

abc: 4.3677 4.3677 4.3677
angles: 60.00 60.00 60.00
Last column: nearest neighbours and their distance in Å.
Fractional positions:
Cu 0.5000 0.5000 0.5000  4 Hg 2.67, 4 Rh 2.67
Hg 0.7500 0.7500 0.7500  4 Rh 2.67, 4 Cu 2.67
Rh 0.0000 0.0000 0.0000  4 Rh 2.67, 4 Hg 2.67
Rh 0.2500 0.2500 0.2500  4 Cu 2.67, 4 Rh 2.67

Properties
DFT total energy: -5.0339 eV/atom
DFT formation energy: 0.261 eV/atom
Size of the total moment: 0.261 μB per atom
Volume: 58.9 Å³/cell

---

[2]
Below is a relaxed structure of SiRhW2, with properties calculated at the GGA-PBEsol level.

abc: 2.8244 2.8244 7.0552
angles: 90.00 90.00 90.00
Last column: nearest neighbours and their distance in Å.
Fractional positions:
Rh 0.5000 0.5000 0.0000  8 W 2.73, 4 Rh 2.82
Si 0.5000 0.5000 0.5000  8 W 2.60, 4 Si 2.82
W 0.0000 0.0000 0.7353  4 Si 2.60, 4 Rh 2.73, 4 W 2.82
W 0.0000 0.0000 0.2647  4 Si 2.60, 4 Rh 2.73, 4 W 2.82

Properties
DFT total energy: -10.4919 eV/atom
ΔE_f (raw): -0.47 eV/f.u.
Size of the total moment: 0.000 μB per atom
Volume: 56.3 Å³/cell

---

[3]
Below is a relaxed structure of LaBiN2, with properties calculated at the GGA-PBEsol level.

abc: 5.4098 5.4098 6.9218
angles: 113.00 113.00 90.00
Last column: nearest neighbours and their distance in Å.
Fractional positions:
N 0.3735 0.8750 0.2500  2 Bi 2.39, 2 La 2.40
N 0.8765 0.3750 0.2500  2 Bi 2.39, 2 La 2.40
N 0.1250 0.1235 0.7500  2 Bi 2.39, 2 La 2.40
N 0.6250 0.6265 0.7500  2 Bi 2.39, 2 La 2.40
Bi 0.2500 0.7500 0.5000  4 N 2.39
Bi 0.0000 0.0000 0.0000  4 N 2.39
La 0.7500 0.2500 0.5000  4 N 2.40
La 0.5000 0.5000 0.0000  4 N 2.40

Properties
DFT total energy: -6.9603 eV/atom
ΔE_f (raw): -1.16 eV/f.u.
Size of the total moment: 0.000 μB per atom
Volume: 168.8 Å³/cell

---

[4]
Below is a relaxed structure of Mg2NiSb, with properties calculated at the GGA-PBEsol level.

abc: 4.0605 4.0558 5.1375
angles: 113.25 113.28 90.00
Last column: nearest neighbours and their distance in Å.
Fractional positions:
Mg 0.7498 0.7498 0.4995  4 Mg 2.87, 4 Ni 2.94, 4 Sb 2.94
Mg 0.2502 0.2502 0.5005  4 Mg 2.87, 4 Ni 2.94, 4 Sb 2.94
Ni 0.5000 0.0000 0.0000  4 Sb 2.87, 8 Mg 2.94
Sb 0.0000 0.5000 0.0000  4 Ni 2.87, 8 Mg 2.94

Properties
DFT total energy: -3.6434 eV/atom
ΔE_f (raw): -0.42 eV/f.u.
Size of the total moment: 0.000 μB per atom
Volume: 70.2 Å³/cell

---

[5]
Below is a relaxed structure of Si2Te, with properties calculated at the GGA-PBEsol level.

abc: 3.6472 3.6472 10.6320
angles: 90.00 90.00 120.00
Last column: nearest neighbours and their distance in Å.
Fractional positions:
Si 0.6667 0.3333 0.5569  3 Si 2.43
Si 0.3333 0.6667 0.0569  3 Si 2.43
Si 0.3333 0.6667 0.4431  3 Si 2.43
Si 0.6667 0.3333 0.9431  3 Si 2.43
Te 0.6667 0.3333 0.2500  8 Si 2.94-3.26
Te 0.3333 0.6667 0.7500  8 Si 2.94-3.26

Properties
DFT total energy: -4.6971 eV/atom
ΔE_f (raw): 0.93 eV/f.u.
Size of the total moment: 0.000 μB per atom
Volume: 122.5 Å³/cell

---

[6]
Below is a relaxed structure of ZnTeP, with properties calculated at the GGA-PBEsol level.

abc: 3.4929 3.4929 6.0270
angles: 106.84 106.84 90.00
Last column: nearest neighbours and their distance in Å.
Fractional positions:
P 0.9058 0.9058 0.8116  1 Te 2.44, 4 Zn 2.47
Zn 0.4104 0.4104 0.8208  4 P 2.47
Te 0.6838 0.6838 0.3676  1 P 2.44

Properties
DFT total energy: -3.5070 eV/atom
ΔE_f (raw): 0.38 eV/f.u.
Size of the total moment: 0.000 μB per atom
Volume: 67.1 Å³/cell

---

[7]
Below is a relaxed structure of Si2SeF, with properties calculated at the GGA-PBEsol level.

abc: 5.5477 5.5477 5.5477
angles: 104.53 104.53 119.88
Last column: nearest neighbours and their distance in Å.
Fractional positions:
Si 0.8663 0.8750 0.4913  2 F 2.46, 2 Se 2.54
Si 0.3837 0.3750 0.5087  2 F 2.46, 2 Se 2.54
Si 0.6250 0.1337 0.0087  2 F 2.46, 2 Se 2.54
Si 0.1250 0.6163 0.9913  2 F 2.46, 2 Se 2.54
Se 0.2500 0.7500 0.5000  4 Si 2.54, 2 F 2.78
Se 0.0000 0.0000 0.0000  4 Si 2.54, 2 F 2.78
F 0.7500 0.2500 0.5000  4 Si 2.46
F 0.5000 0.5000 0.0000  4 Si 2.46

Properties
DFT total energy: -4.5803 eV/atom
ΔE_f (raw): -1.05 eV/f.u.
Size of the total moment: 0.000 μB per atom
Volume: 128.1 Å³/cell

---

[8]
Below is a relaxed structure of BeZnCl2, with properties calculated at the GGA-PBEsol level.

abc: 4.6377 4.6377 4.6377
angles: 60.00 60.00 60.00
Last column: nearest neighbours and their distance in Å.
Fractional positions:
Be 0.5000 0.5000 0.5000  4 Cl 2.84, 4 Zn 2.84
Zn 0.2500 0.2500 0.2500  4 Cl 2.84, 4 Be 2.84
Cl 0.0000 0.0000 0.0000  4 Zn 2.84, 4 Cl 2.84
Cl 0.7500 0.7500 0.7500  4 Be 2.84, 4 Cl 2.84

Properties
DFT total energy: -1.8821 eV/atom
ΔE_f (raw): 2.07 eV/f.u.
Size of the total moment: 0.000 μB per atom
Volume: 70.5 Å³/cell

---

> The lowest volume belongs to which entry?

SiRhW2

---

> What is the volume in the fourth record?

70.2 Å³/cell

---

> Look up the volume of the first one.

58.9 Å³/cell